! Mg6FeNiO8 (PBE+U, optimized geometry); values from VASP
&SYSTEM
  ibrav = 0, nat = 16, ntyp = 4
/
ATOMIC_SPECIES
Mg 24.30 Mg.upf
O 16.00 O.upf
Ni 58.69 Ni.upf
Fe 55.84 Fe.upf
CELL_PARAMETERS angstrom
-0.140 4.034 -1.347
-1.081 -1.337 -3.892
-8.286 0.432 2.153
ATOMIC_POSITIONS angstrom
Mg -2.141 2.125 -0.135
Mg -2.612 -0.560 -1.408
Mg -6.755 -0.344 -0.331
Mg -6.285 2.341 0.941
Mg -4.143 0.216 1.076
Mg -4.753 1.564 -1.543
O -4.683 -0.452 -0.870
O -2.125 0.111 0.552
O -2.672 1.456 -2.084
O -4.213 2.233 0.403
O -0.540 -0.669 -1.946
O -6.834 1.673 -1.002
O -0.070 2.017 -0.673
O -6.161 0.321 1.601
Ni -0.610 1.348 -2.619
Fe 0.000 0.000 0.000
! - SG: No. 123
! - Energy above the lowest structure with this stoichiometry: 54.1 meV/atom
! - E: -5.866 eV per atom